DFT (GGA-PBE) results for a relaxed MgSiSe crystal.

Its excess energy over the best structure of this formula in the dataset is 0.0065 eV/atom. For the total energy, the calculation gives -4.147 eV per atom. As for the symmetry: R3m, No. 160. As for the magnetic moment: 0.000 μB/cell. For the uncorrected formation energy, the calculation gives -0.646 eV/atom.

Lattice parameters (Å, degrees): 10.4739 10.4739 10.4739 21.71 21.71 21.71
Sites, in units of the cell vectors:
Mg 0.0000 0.0000 0.0000
Mg 0.1062 0.1062 0.1062
Si 0.5571 0.5571 0.5571
Si 0.9145 0.9145 0.9145
Se 0.4793 0.4793 0.4793
Se 0.7116 0.7116 0.7116


DFT (GGA-PBE) results for a relaxed ThAlO2 crystal.

For the total energy, the calculation gives -7.326 eV per atom. As for the symmetry: R-3m, No. 166. As for the magnetic moment: 0.000 μB/cell. For the uncorrected formation energy, the calculation gives -2.056 eV/atom.

Lattice parameters (Å, degrees): 7.0348 7.0348 7.0348 25.33 25.33 25.33
Sites, in units of the cell vectors:
Th 0.0000 0.0000 0.0000
Al 0.5000 0.5000 0.5000
O 0.1206 0.1206 0.1206
O 0.8794 0.8794 0.8794


DFT (GGA-PBE) results for a relaxed Nd2HoTh crystal.

Its excess energy over the best structure of this formula in the dataset is 0.1569 eV/atom. The value obtained for the energy of formation from the pure elements is 188 meV per atom. For the total energy, the calculation gives -5.195 eV per atom. As for the symmetry: P-1, No. 2. As for the magnetic moment: 0.000 μB/cell.

Lattice parameters (Å, degrees): 6.4697 6.4733 6.5252 96.00 95.89 96.30
Sites, in units of the cell vectors:
Nd 0.0366 0.2528 0.4619
Nd 0.2528 0.0385 0.9630
Nd 0.7472 0.9615 0.0370
Nd 0.9634 0.7472 0.5381
Ho 0.4683 0.5312 0.7498
Ho 0.5317 0.4688 0.2502
Th 0.0000 0.5000 0.0000
Th 0.5000 0.0000 0.5000


DFT (GGA-PBE) results for a relaxed PaGe2S4 crystal.

For the total energy, the calculation gives -5.730 eV per atom. As for the symmetry: Cmcm, No. 63. As for the magnetic moment: 1.212 μB/cell. For the uncorrected formation energy, the calculation gives -0.695 eV/atom.

Lattice parameters (Å, degrees): 5.3068 5.3068 18.7010 90.00 90.00 139.52
Sites, in units of the cell vectors:
Pa 0.1117 0.8883 0.7500
Pa 0.8883 0.1117 0.2500
Ge 0.4498 0.5502 0.5926
Ge 0.4498 0.5502 0.9074
Ge 0.5502 0.4498 0.0926
Ge 0.5502 0.4498 0.4074
S 0.0000 0.0000 0.0000
S 0.0000 0.0000 0.5000
S 0.3266 0.6734 0.1468
S 0.3266 0.6734 0.3532
S 0.4016 0.5984 0.7500
S 0.5984 0.4016 0.2500
S 0.6734 0.3266 0.6468
S 0.6734 0.3266 0.8532


DFT (GGA-PBE) results for a relaxed UNi5Ge3 crystal.

Its excess energy over the best structure of this formula in the dataset is 0.0545 eV/atom. The value obtained for the energy of formation from the pure elements is -310 meV per atom. For the total energy, the calculation gives -6.315 eV per atom. As for the symmetry: Cmcm, No. 63. As for the magnetic moment: 5.863 μB/cell.

Lattice parameters (Å, degrees): 6.3569 6.3569 11.8282 90.00 90.00 146.48
Sites, in units of the cell vectors:
U 0.1467 0.8533 0.7500
U 0.8533 0.1467 0.2500
Ni 0.0000 0.0000 0.0000
Ni 0.0000 0.0000 0.5000
Ni 0.1945 0.8055 0.0640
Ni 0.1945 0.8055 0.4360
Ni 0.4482 0.5518 0.6454
Ni 0.4482 0.5518 0.8546
Ni 0.5518 0.4482 0.1454
Ni 0.5518 0.4482 0.3546
Ni 0.8055 0.1945 0.5640
Ni 0.8055 0.1945 0.9360
Ge 0.1255 0.8745 0.2500
Ge 0.3807 0.6193 0.0471
Ge 0.3807 0.6193 0.4529
Ge 0.6193 0.3807 0.5471
Ge 0.6193 0.3807 0.9529
Ge 0.8745 0.1255 0.7500


DFT (GGA-PBE) results for a relaxed YB2Rh2C crystal.

The value obtained for the energy of formation from the pure elements is -591 meV per atom. For the total energy, the calculation gives -7.882 eV per atom. As for the symmetry: C2/m, No. 12. As for the magnetic moment: 0.000 μB/cell.

Lattice parameters (Å, degrees): 3.8042 3.8042 5.8055 108.64 108.64 89.98
Sites, in units of the cell vectors:
Y 0.0000 0.0000 0.0000
B 0.3524 0.3524 0.7110
B 0.6476 0.6476 0.2890
Rh 0.2500 0.7500 0.5000
Rh 0.7500 0.2500 0.5000
C 0.5000 0.5000 0.0000


DFT (GGA-PBE) results for a relaxed Pr2Nd3Sm6In crystal.

The value obtained for the energy of formation from the pure elements is -54 meV per atom. For the total energy, the calculation gives -4.630 eV per atom. As for the symmetry: C2/m, No. 12. As for the magnetic moment: 0.000 μB/cell.

Lattice parameters (Å, degrees): 6.2506 6.2506 11.9971 95.02 95.02 120.08
Sites, in units of the cell vectors:
Pr 0.1664 0.8336 0.0000
Pr 0.8336 0.1664 0.0000
Nd 0.0000 0.0000 0.5000
Nd 0.3315 0.6685 0.5000
Nd 0.6685 0.3315 0.5000
Sm 0.0927 0.4178 0.7533
Sm 0.2579 0.2579 0.2479
Sm 0.4178 0.0927 0.7533
Sm 0.5822 0.9073 0.2467
Sm 0.7421 0.7421 0.7521
Sm 0.9073 0.5822 0.2467
In 0.5000 0.5000 0.0000


DFT (GGA-PBE) results for a relaxed NaCoNiAs2 crystal.

The value obtained for the energy of formation from the pure elements is -331 meV per atom. For the total energy, the calculation gives -5.032 eV per atom. As for the symmetry: I-4m2, No. 119. As for the magnetic moment: 0.829 μB/cell.

Lattice parameters (Å, degrees): 5.9544 5.9544 5.9544 141.00 141.00 56.34
Sites, in units of the cell vectors:
Na 0.0000 0.0000 0.0000
Co 0.7500 0.2500 0.5000
Ni 0.2500 0.7500 0.5000
As 0.3679 0.3679 0.0000
As 0.6321 0.6321 0.0000


DFT (GGA-PBE) results for a relaxed Ba2CoCuC crystal.

The value obtained for the energy of formation from the pure elements is 220 meV per atom. For the total energy, the calculation gives -4.634 eV per atom. As for the symmetry: P4/mmm, No. 123. As for the magnetic moment: 0.000 μB/cell.

Lattice parameters (Å, degrees): 5.8228 5.8228 3.6568 90.00 90.00 90.00
Sites, in units of the cell vectors:
Ba 0.0000 0.5000 0.0000
Ba 0.5000 0.0000 0.0000
Co 0.0000 0.0000 0.5000
Cu 0.5000 0.5000 0.5000
C 0.0000 0.0000 0.0000


DFT (GGA-PBE) results for a relaxed HoHfNbN3 crystal.

For the total energy, the calculation gives -9.802 eV per atom. As for the symmetry: P2_1/m, No. 11. As for the magnetic moment: 0.000 μB/cell. For the uncorrected formation energy, the calculation gives -1.539 eV/atom.

Lattice parameters (Å, degrees): 5.6107 3.2359 8.3808 90.00 102.84 90.00
Sites, in units of the cell vectors:
Ho 0.1458 0.2500 0.1894
Ho 0.8542 0.7500 0.8106
Hf 0.2676 0.7500 0.5497
Hf 0.7324 0.2500 0.4503
Nb 0.3773 0.2500 0.8688
Nb 0.6227 0.7500 0.1312
N 0.0552 0.2500 0.6570
N 0.2362 0.7500 0.9950
N 0.4596 0.7500 0.3478
N 0.5404 0.2500 0.6522
N 0.7638 0.2500 0.0050
N 0.9448 0.7500 0.3430


DFT (GGA-PBE) results for a relaxed AcAsRh4 crystal.

The value obtained for the energy of formation from the pure elements is -413 meV per atom. For the total energy, the calculation gives -6.774 eV per atom. As for the symmetry: Pmma, No. 51. As for the magnetic moment: 0.000 μB/cell.

Lattice parameters (Å, degrees): 7.5612 4.0381 7.2096 90.00 90.00 90.00
Sites, in units of the cell vectors:
Ac 0.2500 0.0000 0.1362
Ac 0.7500 0.0000 0.8638
As 0.2500 0.0000 0.7080
As 0.7500 0.0000 0.2920
Rh 0.0000 0.0000 0.5000
Rh 0.0586 0.5000 0.7844
Rh 0.2500 0.5000 0.4521
Rh 0.4414 0.5000 0.7844
Rh 0.5000 0.0000 0.5000
Rh 0.5586 0.5000 0.2156
Rh 0.7500 0.5000 0.5479
Rh 0.9414 0.5000 0.2156


DFT (GGA-PBE) results for a relaxed SnPSe2 crystal.

Its excess energy over the best structure of this formula in the dataset is 0.0000 eV/atom. For the total energy, the calculation gives -3.939 eV per atom. As for the symmetry: I-42d, No. 122. As for the magnetic moment: 0.000 μB/cell. For the uncorrected formation energy, the calculation gives 0.156 eV/atom.

Lattice parameters (Å, degrees): 8.5918 8.5918 8.5918 143.44 143.44 52.67
Sites, in units of the cell vectors:
Sn 0.0000 0.0000 0.0000
Sn 0.7500 0.2500 0.5000
P 0.2500 0.7500 0.5000
P 0.5000 0.5000 0.0000
Se 0.1795 0.6250 0.0545
Se 0.3750 0.4295 0.5545
Se 0.5705 0.1250 0.9455
Se 0.8750 0.8205 0.4455